Entry 1:
The following is a PBE calculation of an optimized crystal structure of ScCu2Os, from Alexandria.

Properties
D(E_F) = 6.8 states/eV/cell
ΔE to the lowest computed polymorph = 195 meV per atom
space-group type = F-43m (216)
formation energy = 137 meV per atom

Unit cell a=4.3802 b=4.3802 c=4.3802 alpha=60.00 beta=60.00 gamma=60.00
With the nearest neighbours (Å) after each atom.
Element x y z (fractional)
Sc 0.0000 0.0000 0.0000  4 Os 2.68, 4 Cu 2.68
Cu 0.2500 0.2500 0.2500  4 Cu 2.68, 4 Sc 2.68
Cu 0.5000 0.5000 0.5000  4 Cu 2.68, 4 Os 2.68
Os 0.7500 0.7500 0.7500  4 Cu 2.68, 4 Sc 2.68

=====

Entry 2:
The following is a PBE calculation of an optimized crystal structure of Ba4MnN4, from Alexandria.

Properties
D(E_F) = 10.5 states/eV/cell
ΔE to the lowest computed polymorph = 164 meV per atom
space-group type = P4_2/nmc (137)

Unit cell a=7.3640 b=7.3640 c=8.1607 alpha=90.00 beta=90.00 gamma=90.00
With the nearest neighbours (Å) after each atom.
Element x y z (fractional)
Ba 0.0189 0.2500 0.0539  4 N 2.84-2.87, 1 Mn 3.17
Ba 0.2500 0.0189 0.5539  4 N 2.84-2.87, 1 Mn 3.17
Ba 0.2500 0.4811 0.5539  4 N 2.84-2.87, 1 Mn 3.17
Ba 0.4811 0.2500 0.0539  4 N 2.84-2.87, 1 Mn 3.17
Ba 0.5189 0.7500 0.9461  4 N 2.84-2.87, 1 Mn 3.17
Ba 0.7500 0.5189 0.4461  4 N 2.84-2.87, 1 Mn 3.17
Ba 0.7500 0.9811 0.4461  4 N 2.84-2.87, 1 Mn 3.17
Ba 0.9811 0.7500 0.9461  4 N 2.84-2.87, 1 Mn 3.17
Mn 0.2500 0.7500 0.2500  4 N 1.78
Mn 0.7500 0.2500 0.7500  4 N 1.78
N 0.0544 0.7500 0.3777  1 Mn 1.78
N 0.2500 0.5544 0.1223  1 Mn 1.78
N 0.2500 0.9456 0.1223  1 Mn 1.78
N 0.4456 0.7500 0.3777  1 Mn 1.78
N 0.5544 0.2500 0.6223  1 Mn 1.78
N 0.7500 0.0544 0.8777  1 Mn 1.78
N 0.7500 0.4456 0.8777  1 Mn 1.78
N 0.9456 0.2500 0.6223  1 Mn 1.78

=====

Entry 3:
The following is a PBE calculation of an optimized crystal structure of DyNpC, from Alexandria.

Properties
D(E_F) = 5.5 states/eV/cell
ΔE to the lowest computed polymorph = 333 meV per atom
space-group type = I4mm (107)
formation energy = 415 meV per atom

Unit cell a=6.1971 b=6.1971 c=6.1971 alpha=150.79 beta=150.79 gamma=41.78
With the nearest neighbours (Å) after each atom.
Element x y z (fractional)
Dy 0.0000 0.0000 0.0000  4 C 2.70, 1 Np 2.76
Np 0.7618 0.7618 0.0000  4 C 2.52, 1 Dy 2.76
C 0.3656 0.3656 0.0000  4 Np 2.52, 4 Dy 2.70

=====

Entry 4:
The following is a PBE calculation of an optimized crystal structure of Y2ZrRu, from Alexandria.

Properties
D(E_F) = 5.7 states/eV/cell
ΔE to the lowest computed polymorph = 400 meV per atom
space-group type = I-4m2 (119)
formation energy = 160 meV per atom

Unit cell a=5.9790 b=5.9790 c=5.9790 alpha=138.83 beta=138.83 gamma=59.64
With the nearest neighbours (Å) after each atom.
Element x y z (fractional)
Y 0.0000 0.0000 0.0000  4 Ru 2.97
Y 0.7500 0.2500 0.5000  4 Zr 2.97
Zr 0.2500 0.7500 0.5000  4 Y 2.97
Ru 0.5000 0.5000 0.0000  4 Y 2.97

=====

Entry 5:
The following is a PBE calculation of an optimized crystal structure of HfTiCd2, from Alexandria.

Properties
D(E_F) = 10.8 states/eV/cell
ΔE to the lowest computed polymorph = 526 meV per atom
space-group type = I-42d (122)
formation energy = 459 meV per atom

Unit cell a=6.2269 b=6.2269 c=6.2269 alpha=101.54 beta=101.54 gamma=126.86
With the nearest neighbours (Å) after each atom.
Element x y z (fractional)
Hf 0.0000 0.0000 0.0000  2 Ti 2.79, 4 Cd 2.96
Hf 0.7500 0.2500 0.5000  2 Ti 2.79, 4 Cd 2.96
Ti 0.2500 0.7500 0.5000  2 Hf 2.79, 4 Cd 2.79
Ti 0.5000 0.5000 0.0000  2 Hf 2.79, 4 Cd 2.79
Cd 0.1409 0.6250 0.0159  2 Ti 2.79, 2 Cd 2.80, 2 Hf 2.96
Cd 0.3750 0.3909 0.5159  2 Ti 2.79, 2 Cd 2.80, 2 Hf 2.96
Cd 0.6091 0.1250 0.9841  2 Ti 2.79, 2 Cd 2.80, 2 Hf 2.96
Cd 0.8750 0.8591 0.4841  2 Ti 2.79, 2 Cd 2.80, 2 Hf 2.96

=====

Entry 6:
The following is a PBE calculation of an optimized crystal structure of BaOsBr2, from Alexandria.

Properties
D(E_F) = 2.9 states/eV/cell
ΔE to the lowest computed polymorph = 18 meV per atom
space-group type = Cm (8)

Unit cell a=6.4057 b=6.4057 c=5.6489 alpha=98.24 beta=98.24 gamma=35.53
With the nearest neighbours (Å) after each atom.
Element x y z (fractional)
Ba 0.0000 0.0000 0.0000  2 Os 3.29, 7 Br 3.30-3.46
Os 0.3095 0.3095 0.1728  3 Br 2.44-2.53
Br 0.4766 0.4766 0.4964  1 Os 2.53
Br 0.7273 0.7273 0.9580  2 Os 2.44

=====

Entry 7:
The following is a PBE calculation of an optimized crystal structure of Mg7Ir3, from Alexandria.

Properties
D(E_F) = 5.7 states/eV/cell
ΔE to the lowest computed polymorph = 30 meV per atom
space-group type = P6_3mc (186)
formation energy = -208 meV per atom

Unit cell a=8.8130 b=8.8130 c=5.4991 alpha=90.00 beta=90.00 gamma=120.00
With the nearest neighbours (Å) after each atom.
Element x y z (fractional)
Mg 0.0472 0.5236 0.0000  4 Ir 2.66-2.81, 3 Mg 2.84-2.95
Mg 0.1252 0.2504 0.2404  3 Ir 2.69-2.80
Mg 0.1252 0.8748 0.2404  3 Ir 2.69-2.80
Mg 0.2504 0.1252 0.7404  3 Ir 2.69-2.80
Mg 0.3333 0.6667 0.4037  3 Ir 2.61
Mg 0.4764 0.5236 0.0000  4 Ir 2.66-2.81, 3 Mg 2.84-2.95
Mg 0.4764 0.9528 0.0000  4 Ir 2.66-2.81, 3 Mg 2.84-2.95
Mg 0.5236 0.0472 0.5000  4 Ir 2.66-2.81, 3 Mg 2.84-2.95
Mg 0.5236 0.4764 0.5000  4 Ir 2.66-2.81, 3 Mg 2.84-2.95
Mg 0.6667 0.3333 0.9037  3 Ir 2.61
Mg 0.7496 0.8748 0.2404  3 Ir 2.69-2.80
Mg 0.8748 0.1252 0.7404  3 Ir 2.69-2.80
Mg 0.8748 0.7496 0.7404  3 Ir 2.69-2.80
Mg 0.9528 0.4764 0.5000  4 Ir 2.66-2.81, 3 Mg 2.84-2.95
Ir 0.2013 0.4025 0.7037  8 Mg 2.61-2.81
Ir 0.2013 0.7987 0.7037  8 Mg 2.61-2.81
Ir 0.4025 0.2013 0.2037  8 Mg 2.61-2.81
Ir 0.5975 0.7987 0.7037  8 Mg 2.61-2.81
Ir 0.7987 0.2013 0.2037  8 Mg 2.61-2.81
Ir 0.7987 0.5975 0.2037  8 Mg 2.61-2.81

=====

Entry 8:
The following is a PBE calculation of an optimized crystal structure of CaZnHg4, from Alexandria.

Properties
D(E_F) = 3.6 states/eV/cell
ΔE to the lowest computed polymorph = 0 meV per atom
space-group type = C2/m (12)
formation energy = -204 meV per atom

Unit cell a=9.0463 b=9.0463 c=5.0459 alpha=105.77 beta=105.77 gamma=49.38
With the nearest neighbours (Å) after each atom.
Element x y z (fractional)
Ca 0.1960 0.1960 0.1977  10 Hg 3.20-3.37
Ca 0.8040 0.8040 0.8023  10 Hg 3.20-3.37
Zn 0.4978 0.4978 0.7398  2 Zn 2.44-2.60, 2 Hg 2.73
Zn 0.5022 0.5022 0.2602  2 Zn 2.44-2.60, 2 Hg 2.73
Hg 0.1086 0.6318 0.3670  2 Zn 3.08-3.10, 4 Hg 3.24-3.30, 3 Ca 3.27-3.37
Hg 0.1825 0.8175 0.0000  2 Zn 2.73, 1 Hg 2.76
Hg 0.3217 0.3217 0.8209  2 Zn 3.04-3.13, 2 Ca 3.20-3.21, 4 Hg 3.29-3.30
Hg 0.3682 0.8914 0.6330  2 Zn 3.08-3.10, 4 Hg 3.24-3.30, 3 Ca 3.27-3.37
Hg 0.6318 0.1086 0.3670  2 Zn 3.08-3.10, 4 Hg 3.24-3.30, 3 Ca 3.27-3.37
Hg 0.6783 0.6783 0.1791  2 Zn 3.04-3.13, 2 Ca 3.20-3.21, 4 Hg 3.29-3.30
Hg 0.8175 0.1825 0.0000  2 Zn 2.73, 1 Hg 2.76
Hg 0.8914 0.3682 0.6330  2 Zn 3.08-3.10, 4 Hg 3.24-3.30, 3 Ca 3.27-3.37

=====

Entry 9:
The following is a PBE calculation of an optimized crystal structure of MgAl2Au, from Alexandria.

Properties
D(E_F) = 1.2 states/eV/cell
space-group type = P4/mmm (123)
formation energy = -160 meV per atom

Unit cell a=3.0331 b=3.0331 c=7.8414 alpha=90.00 beta=90.00 gamma=90.00
With the nearest neighbours (Å) after each atom.
Element x y z (fractional)
Mg 0.0000 0.0000 0.0000  8 Al 3.02, 4 Mg 3.03
Al 0.5000 0.5000 0.2711  4 Au 2.80, 4 Mg 3.02, 4 Al 3.03
Al 0.5000 0.5000 0.7289  4 Au 2.80, 4 Mg 3.02, 4 Al 3.03
Au 0.0000 0.0000 0.5000  8 Al 2.80, 4 Au 3.03

=====

Entry 10:
The following is a PBE calculation of an optimized crystal structure of Sr2TcPt, from Alexandria.

Properties
D(E_F) = 8.7 states/eV/cell
ΔE to the lowest computed polymorph = 631 meV per atom
space-group type = I-42d (122)
formation energy = 557 meV per atom

Unit cell a=6.6664 b=6.6664 c=6.6664 alpha=102.40 beta=102.40 gamma=124.78
With the nearest neighbours (Å) after each atom.
Element x y z (fractional)
Sr 0.0985 0.6250 0.9735  2 Pt 2.91, 2 Sr 3.12, 2 Tc 3.21
Sr 0.3750 0.3485 0.4735  2 Pt 2.91, 2 Sr 3.12, 2 Tc 3.21
Sr 0.6515 0.1250 0.0265  2 Pt 2.91, 2 Sr 3.12, 2 Tc 3.21
Sr 0.8750 0.9015 0.5265  2 Pt 2.91, 2 Sr 3.12, 2 Tc 3.21
Tc 0.2500 0.7500 0.5000  2 Pt 3.09, 4 Sr 3.21
Tc 0.5000 0.5000 0.0000  2 Pt 3.09, 4 Sr 3.21
Pt 0.0000 0.0000 0.0000  4 Sr 2.91, 2 Tc 3.09
Pt 0.7500 0.2500 0.5000  4 Sr 2.91, 2 Tc 3.09

=====

Entry 11:
The following is a PBE calculation of an optimized crystal structure of LiMnCr, from Alexandria.

Properties
D(E_F) = 1.1 states/eV/cell
ΔE to the lowest computed polymorph = 461 meV per atom
space-group type = F-43m (216)
formation energy = 773 meV per atom

Unit cell a=4.1188 b=4.1188 c=4.1188 alpha=60.00 beta=60.00 gamma=60.00
With the nearest neighbours (Å) after each atom.
Element x y z (fractional)
Li 0.0000 0.0000 0.0000  4 Mn 2.52
Mn 0.2500 0.2500 0.2500  4 Cr 2.52, 4 Li 2.52
Cr 0.5000 0.5000 0.5000  4 Mn 2.52

=====

Entry 12:
The following is a PBE calculation of an optimized crystal structure of PmHo4As5, from Alexandria.

Properties
D(E_F) = 1.6 states/eV/cell
space-group type = Immm (71)
formation energy = -1523 meV per atom

Unit cell a=10.9188 b=10.9188 c=10.9188 alpha=158.20 beta=148.99 gamma=38.23
With the nearest neighbours (Å) after each atom.
Element x y z (fractional)
Pm 0.0000 0.0000 0.0000  6 As 2.92-2.97
Ho 0.2014 0.2014 0.0000  6 As 2.89-2.92
Ho 0.3994 0.3994 0.0000  6 As 2.91-2.93
Ho 0.6006 0.6006 0.0000  6 As 2.91-2.93
Ho 0.7986 0.7986 0.0000  6 As 2.89-2.92
As 0.1032 0.6032 0.5000  4 Ho 2.89-2.92, 2 Pm 2.97
As 0.3003 0.8003 0.5000  6 Ho 2.90-2.92
As 0.5000 0.0000 0.5000  2 Pm 2.92, 4 Ho 2.93
As 0.6997 0.1997 0.5000  6 Ho 2.90-2.92
As 0.8968 0.3968 0.5000  4 Ho 2.89-2.92, 2 Pm 2.97

=====

| no. | total magnetic moment (μB per atom) |
| --- | --- |
| 1 | 0.0002 |
| 2 | 0.1212 |
| 3 | 1.2022 |
| 4 | 0.0000 |
| 5 | 0.0000 |
| 6 | 0.1489 |
| 7 | 0.0000 |
| 8 | 0.0000 |
| 9 | 0.0000 |
| 10 | 0.6904 |
| 11 | 0.0353 |
| 12 | 0.0000 |